Entry 1:
! Ac4ReN7 PBE relaxed; values from VASP
&SYSTEM
  ibrav = 0, nat = 12, ntyp = 3
/
ATOMIC_SPECIES
N 14.01 N.upf
Ac 227.00 Ac.upf
Re 186.21 Re.upf
CELL_PARAMETERS angstrom
-3.678 -0.971 0.882
0.477 -6.918 3.018
-0.590 1.393 7.720
ATOMIC_POSITIONS crystal
N 0.500 0.000 0.000
Ac 0.544 0.248 0.664
N 0.094 0.733 0.079
N 0.225 0.039 0.511
N 0.623 0.414 0.341
Ac 0.751 0.694 0.804
Ac 0.249 0.306 0.196
Re 0.000 0.000 0.000
Ac 0.456 0.752 0.336
N 0.377 0.586 0.659
N 0.906 0.267 0.921
N 0.775 0.961 0.489
! final energy: -7.682 eV/atom

***

Entry 2:
! ScTc2F PBE relaxed; values from VASP
&SYSTEM
  ibrav = 0, nat = 4, ntyp = 3
/
ATOMIC_SPECIES
Tc 98.00 Tc.upf
Sc 44.96 Sc.upf
F 19.00 F.upf
CELL_PARAMETERS angstrom
-1.367 1.752 3.792
-3.715 2.346 0.124
-3.555 -1.619 2.013
ATOMIC_POSITIONS crystal
Tc 0.250 0.250 0.250
Sc 0.500 0.500 0.500
F 0.000 0.000 0.000
Tc 0.750 0.750 0.750
! final energy: -6.697 eV/atom
! offset from the most stable computed form: 2.86 kcal/mol of atoms

***

| no. | formation energy without anion corrections (eV/atom) |
| --- | --- |
| 1 | -0.419 |
| 2 | 0.537 |